# LiPaH (PBE, optimized geometry)
# - Raw total energy: -14.1 eV per formula unit
data_LiPaH
_chemical_formula_sum 'Li2 Pa2 H2'
_cell_length_a 5.797
_cell_length_b 5.797
_cell_length_c 5.918
_cell_angle_alpha 90.00
_cell_angle_beta 90.00
_cell_angle_gamma 151.17
_symmetry_space_group_name_H-M 'P 1'
_symmetry_Int_Tables_number 1
_symmetry_space_group_name_Hall 'P 1'
loop_
_atom_site_label
_atom_site_fract_x
_atom_site_fract_y
_atom_site_fract_z
Li1 0.242 0.758 0.750
Li2 0.758 0.242 0.250
Pa1 0.500 0.500 0.000
Pa2 0.500 0.500 0.500
H1 0.112 0.888 0.250
H2 0.888 0.112 0.750


# SiPbCl2 (PBE, optimized geometry)
# - Formation energy without anion corrections: 0.0162 eV per atom
data_SiPbCl2
_chemical_formula_sum 'Si1 Pb1 Cl2'
_cell_length_a 5.483
_cell_length_b 5.483
_cell_length_c 5.483
_cell_angle_alpha 130.12
_cell_angle_beta 130.12
_cell_angle_gamma 73.22
_symmetry_space_group_name_H-M 'P 1'
_symmetry_Int_Tables_number 1
_symmetry_space_group_name_Hall 'P 1'
loop_
_atom_site_label
_atom_site_fract_x
_atom_site_fract_y
_atom_site_fract_z
Si1 0.000 0.000 0.000
Pb1 0.500 0.500 0.000
Cl1 0.250 0.750 0.500
Cl2 0.750 0.250 0.500


Please write out number 2 again, unchanged.
# SiPbCl2 (PBE, optimized geometry)
# - Formation energy without anion corrections: 0.0162 eV per atom
data_SiPbCl2
_chemical_formula_sum 'Si1 Pb1 Cl2'
_cell_length_a 5.483
_cell_length_b 5.483
_cell_length_c 5.483
_cell_angle_alpha 130.12
_cell_angle_beta 130.12
_cell_angle_gamma 73.22
_symmetry_space_group_name_H-M 'P 1'
_symmetry_Int_Tables_number 1
_symmetry_space_group_name_Hall 'P 1'
loop_
_atom_site_label
_atom_site_fract_x
_atom_site_fract_y
_atom_site_fract_z
Si1 0.000 0.000 0.000
Pb1 0.500 0.500 0.000
Cl1 0.250 0.750 0.500
Cl2 0.750 0.250 0.500